(1)
# Tb12Pm2Ho (PBE-GGA, optimized geometry)
# ΔE_f in meV per atom: 162
# Electronic total energy in eV per formula unit: -67.2
data_Tb12Pm2Ho
_symmetry_space_group_name_H-M 'C m m e'
_symmetry_Int_Tables_number 67
_symmetry_space_group_name_Hall '-C 2a 2'
_cell_length_a 7.082
_cell_length_b 11.348
_cell_length_c 24.746
_cell_angle_alpha 90.00
_cell_angle_beta 90.00
_cell_angle_gamma 90.00
loop_
_atom_site_label
_atom_site_fract_x
_atom_site_fract_y
_atom_site_fract_z
Tb1 0.000 0.001 0.077
Tb2 0.000 0.017 0.561
Tb3 0.236 0.250 0.416
Tb4 0.249 0.250 0.874
Tb5 0.250 0.000 0.199
Tb6 0.250 0.000 0.327
Pm1 0.000 0.250 0.265
Pm2 0.000 0.250 0.730
Ho1 0.000 0.250 0.000

***

(2)
# Fe2AsW (PBE-GGA, optimized geometry)
# ΔE_f in meV per atom: 344
# Electronic total energy in eV per formula unit: -33.2
data_Fe2AsW
_symmetry_space_group_name_H-M 'R 3 m'
_symmetry_Int_Tables_number 160
_symmetry_space_group_name_Hall 'R 3 -2"'
_cell_length_a 2.8480
_cell_length_b 2.8480
_cell_length_c 24.0396
_cell_angle_alpha 90.00
_cell_angle_beta 90.00
_cell_angle_gamma 120.00
loop_
_atom_site_label
_atom_site_fract_x
_atom_site_fract_y
_atom_site_fract_z
Fe1 0.0000 0.0000 0.0000
Fe2 0.0000 0.0000 0.2583
As1 0.0000 0.0000 0.5118
W1 0.0000 0.0000 0.7533

***

(3)
# CuSiIrRh (PBE-GGA, optimized geometry)
# Raw formation energy in eV/f.u.: -1.737
# Electronic total energy in eV per formula unit: -27.5
data_CuSiIrRh
_symmetry_space_group_name_H-M 'F -4 3 m'
_symmetry_Int_Tables_number 216
_symmetry_space_group_name_Hall 'F -4 2 3'
_cell_length_a 5.923
_cell_length_b 5.923
_cell_length_c 5.923
_cell_angle_alpha 90.00
_cell_angle_beta 90.00
_cell_angle_gamma 90.00
loop_
_atom_site_label
_atom_site_fract_x
_atom_site_fract_y
_atom_site_fract_z
Cu1 0.000 0.000 0.000
Si1 0.000 0.000 0.500
Ir1 0.250 0.250 0.250
Rh1 0.250 0.250 0.750